The following is a DFT calculation (GGA+U) of an optimized crystal structure of PaCr2CoO6.

It has space group P4mm (No. 99), with a = 5.750 Å, b = 5.750 Å, c = 4.253 Å, α = 90.00°, β = 90.00° and γ = 90.00°. The inequivalent atoms are Pa at (0.000, 0.000, 0.000), Cr at (0.000, 0.500, 0.266), Co at (0.500, 0.500, 0.101), O at (0.000, 0.000, 0.523), O at (0.262, 0.262, 0.115) and O at (0.500, 0.500, 0.571).

The total energy comes out at -7.63 eV/atom.